1.
TbThNb4 | PBE-GGA | relaxed

Structure (CIF):
```
data_TbThNb4
_cell_length_a 8.131
_cell_length_b 8.131
_cell_length_c 8.131
_cell_angle_alpha 90.00
_cell_angle_beta 90.00
_cell_angle_gamma 90.00
_space_group_name_H-M_alt 'F -4 3 m'
_space_group_IT_number 216
_space_group_name_Hall 'F -4 2 3'
loop_
_atom_site_label
_atom_site_type_symbol
_atom_site_fract_x
_atom_site_fract_y
_atom_site_fract_z
Tb1 Tb 0.000 0.000 0.000
Th1 Th 0.250 0.250 0.750
Nb1 Nb 0.125 0.125 0.375
```

Summary:
- Fermi-level density of states (states/eV/atom) = 0.802
- ρ (g/cm3) = 9.42
- formation energy (meV per atom) = 97
- magnetization (μB per formula unit) = 0.0

---

2.
Tb2NbTl | PBE-GGA | relaxed

Structure (CIF):
```
data_Tb2NbTl
_cell_length_a 3.2710
_cell_length_b 3.2710
_cell_length_c 34.3408
_cell_angle_alpha 90.00
_cell_angle_beta 90.00
_cell_angle_gamma 120.00
_space_group_name_H-M_alt 'R -3 m'
_space_group_IT_number 166
_space_group_name_Hall '-R 3 2"'
loop_
_atom_site_label
_atom_site_type_symbol
_atom_site_fract_x
_atom_site_fract_y
_atom_site_fract_z
Tb1 Tb 0.0000 0.0000 0.0859
Nb1 Nb 0.0000 0.0000 0.0000
Tl1 Tl 0.0000 0.0000 0.5000
```

Summary:
- Fermi-level density of states (states/eV/atom) = 1.477
- ρ (g/cm3) = 9.63
- formation energy (meV per atom) = 469
- magnetization (μB per formula unit) = 0.8

---

3.
Tb2TmNb | PBE-GGA | relaxed

Structure (CIF):
```
data_Tb2TmNb
_cell_length_a 3.2946
_cell_length_b 3.2946
_cell_length_c 34.5201
_cell_angle_alpha 90.00
_cell_angle_beta 90.00
_cell_angle_gamma 120.00
_space_group_name_H-M_alt 'R -3 m'
_space_group_IT_number 166
_space_group_name_Hall '-R 3 2"'
loop_
_atom_site_label
_atom_site_type_symbol
_atom_site_fract_x
_atom_site_fract_y
_atom_site_fract_z
Tb1 Tb 0.0000 0.0000 0.0838
Tm1 Tm 0.0000 0.0000 0.5000
Nb1 Nb 0.0000 0.0000 0.0000
```

Summary:
- Fermi-level density of states (states/eV/atom) = 1.177
- ρ (g/cm3) = 8.90
- formation energy (meV per atom) = 519
- magnetization (μB per formula unit) = 0.0

---

4.
TbTm2Nb | PBE-GGA | relaxed

Structure (CIF):
```
data_TbTm2Nb
_cell_length_a 3.2705
_cell_length_b 3.2705
_cell_length_c 34.5718
_cell_angle_alpha 90.00
_cell_angle_beta 90.00
_cell_angle_gamma 120.00
_space_group_name_H-M_alt 'R -3 m'
_space_group_IT_number 166
_space_group_name_Hall '-R 3 2"'
loop_
_atom_site_label
_atom_site_type_symbol
_atom_site_fract_x
_atom_site_fract_y
_atom_site_fract_z
Tb1 Tb 0.0000 0.0000 0.0000
Tm1 Tm 0.0000 0.0000 0.4166
Nb1 Nb 0.0000 0.0000 0.5000
```

Summary:
- Fermi-level density of states (states/eV/atom) = 1.445
- ρ (g/cm3) = 9.17
- formation energy (meV per atom) = 515
- magnetization (μB per formula unit) = 0.4

---

5.
TbTmNb4 | PBE-GGA | relaxed

Structure (CIF):
```
data_TbTmNb4
_cell_length_a 8.079
_cell_length_b 8.079
_cell_length_c 8.079
_cell_angle_alpha 90.00
_cell_angle_beta 90.00
_cell_angle_gamma 90.00
_space_group_name_H-M_alt 'F -4 3 m'
_space_group_IT_number 216
_space_group_name_Hall 'F -4 2 3'
loop_
_atom_site_label
_atom_site_type_symbol
_atom_site_fract_x
_atom_site_fract_y
_atom_site_fract_z
Tb1 Tb 0.000 0.000 0.000
Tm1 Tm 0.250 0.250 0.250
Nb1 Nb 0.125 0.125 0.625
```

Summary:
- Fermi-level density of states (states/eV/atom) = 1.856
- ρ (g/cm3) = 8.81
- formation energy (meV per atom) = 172
- magnetization (μB per formula unit) = 0.0

---

6.
TbUNb | PBE-GGA | relaxed

Structure (CIF):
```
data_TbUNb
_cell_length_a 5.008
_cell_length_b 5.591
_cell_length_c 5.589
_cell_angle_alpha 90.00
_cell_angle_beta 90.00
_cell_angle_gamma 90.00
_space_group_name_H-M_alt 'P m m a'
_space_group_IT_number 51
_space_group_name_Hall '-P 2a 2a'
loop_
_atom_site_label
_atom_site_type_symbol
_atom_site_fract_x
_atom_site_fract_y
_atom_site_fract_z
Tb1 Tb 0.250 0.000 0.238
U1 U 0.000 0.500 0.500
Nb1 Nb 0.250 0.500 0.971
```

Summary:
- Fermi-level density of states (states/eV/atom) = 1.573
- ρ (g/cm3) = 10.40
- formation energy (meV per atom) = 551
- magnetization (μB per formula unit) = 1.3

---

7.
TbNbV4 | PBE-GGA | relaxed

Structure (CIF):
```
data_TbNbV4
_cell_length_a 7.357
_cell_length_b 7.357
_cell_length_c 7.357
_cell_angle_alpha 90.00
_cell_angle_beta 90.00
_cell_angle_gamma 90.00
_space_group_name_H-M_alt 'F -4 3 m'
_space_group_IT_number 216
_space_group_name_Hall 'F -4 2 3'
loop_
_atom_site_label
_atom_site_type_symbol
_atom_site_fract_x
_atom_site_fract_y
_atom_site_fract_z
Tb1 Tb 0.000 0.000 0.000
Nb1 Nb 0.250 0.250 0.750
V1 V 0.125 0.125 0.375
```

Summary:
- Fermi-level density of states (states/eV/atom) = 1.275
- ρ (g/cm3) = 7.60
- formation energy (meV per atom) = 226
- magnetization (μB per formula unit) = 0.0

---

8.
TbNbW | PBE-GGA | relaxed

Structure (CIF):
```
data_TbNbW
_cell_length_a 5.028
_cell_length_b 10.168
_cell_length_c 20.836
_cell_angle_alpha 90.00
_cell_angle_beta 90.00
_cell_angle_gamma 90.00
_space_group_name_H-M_alt 'F d d d'
_space_group_IT_number 70
loop_
_space_group_symop_operation_xyz
'x,y,z'
'-x,-y,-z'
'-x+1/4,-y+1/4,z'
'x+1/4,y+1/4,-z'
'x,-y+1/4,-z+1/4'
'-x,y+1/4,z+1/4'
'-x+1/4,y,-z+1/4'
'x+1/4,-y,z+1/4'
'x,y+1/2,z+1/2'
'-x,-y+1/2,-z+1/2'
'-x+1/4,-y+3/4,z+1/2'
'x+1/4,y+3/4,-z+1/2'
'x,-y+3/4,-z+3/4'
'-x,y+3/4,z+3/4'
'-x+1/4,y+1/2,-z+3/4'
'x+1/4,-y+1/2,z+3/4'
'x+1/2,y,z+1/2'
'-x+1/2,-y,-z+1/2'
'-x+3/4,-y+1/4,z+1/2'
'x+3/4,y+1/4,-z+1/2'
'x+1/2,-y+1/4,-z+3/4'
'-x+1/2,y+1/4,z+3/4'
'-x+3/4,y,-z+3/4'
'x+3/4,-y,z+3/4'
'x+1/2,y+1/2,z'
'-x+1/2,-y+1/2,-z'
'-x+3/4,-y+3/4,z'
'x+3/4,y+3/4,-z'
'x+1/2,-y+3/4,-z+1/4'
'-x+1/2,y+3/4,z+1/4'
'-x+3/4,y+1/2,-z+1/4'
'x+3/4,-y+1/2,z+1/4'
loop_
_atom_site_label
_atom_site_type_symbol
_atom_site_fract_x
_atom_site_fract_y
_atom_site_fract_z
Tb1 Tb 0.125 0.280 0.125
Nb1 Nb 0.125 0.125 0.537
W1 W 0.125 0.125 0.000
```

Summary:
- Fermi-level density of states (states/eV/atom) = 1.062
- ρ (g/cm3) = 10.87
- formation energy (meV per atom) = 391
- magnetization (μB per formula unit) = 0.0

---

9.
Tb2YNb | PBE-GGA | relaxed

Structure (CIF):
```
data_Tb2YNb
_cell_length_a 3.3150
_cell_length_b 3.3150
_cell_length_c 34.8093
_cell_angle_alpha 90.00
_cell_angle_beta 90.00
_cell_angle_gamma 120.00
_space_group_name_H-M_alt 'R -3 m'
_space_group_IT_number 166
_space_group_name_Hall '-R 3 2"'
loop_
_atom_site_label
_atom_site_type_symbol
_atom_site_fract_x
_atom_site_fract_y
_atom_site_fract_z
Tb1 Tb 0.0000 0.0000 0.0830
Y1 Y 0.0000 0.0000 0.5000
Nb1 Nb 0.0000 0.0000 0.0000
```

Summary:
- Fermi-level density of states (states/eV/atom) = 1.328
- ρ (g/cm3) = 7.51
- formation energy (meV per atom) = 545
- magnetization (μB per formula unit) = 0.0

---

10.
TbNbZn | PBE-GGA | relaxed

Structure (CIF):
```
data_TbNbZn
_cell_length_a 4.366
_cell_length_b 4.384
_cell_length_c 12.923
_cell_angle_alpha 90.00
_cell_angle_beta 90.00
_cell_angle_gamma 90.00
_space_group_name_H-M_alt 'C m m m'
_space_group_IT_number 65
_space_group_name_Hall '-C 2 2'
loop_
_atom_site_label
_atom_site_type_symbol
_atom_site_fract_x
_atom_site_fract_y
_atom_site_fract_z
Tb1 Tb 0.000 0.000 0.174
Nb1 Nb 0.000 0.500 0.361
Zn1 Zn 0.000 0.000 0.500
Zn2 Zn 0.000 0.500 0.000
```

Summary:
- Fermi-level density of states (states/eV/atom) = 0.893
- ρ (g/cm3) = 8.52
- formation energy (meV per atom) = 78
- magnetization (μB per formula unit) = 0.0

---

11.
TbZr2Nb | PBE-GGA | relaxed

Structure (CIF):
```
data_TbZr2Nb
_cell_length_a 3.2331
_cell_length_b 3.2331
_cell_length_c 31.3032
_cell_angle_alpha 90.00
_cell_angle_beta 90.00
_cell_angle_gamma 120.00
_space_group_name_H-M_alt 'R -3 m'
_space_group_IT_number 166
_space_group_name_Hall '-R 3 2"'
loop_
_atom_site_label
_atom_site_type_symbol
_atom_site_fract_x
_atom_site_fract_y
_atom_site_fract_z
Tb1 Tb 0.0000 0.0000 0.0000
Zr1 Zr 0.0000 0.0000 0.2420
Nb1 Nb 0.0000 0.0000 0.5000
```

Summary:
- Fermi-level density of states (states/eV/atom) = 1.662
- ρ (g/cm3) = 7.63
- formation energy (meV per atom) = 233
- E above lowest polymorph (meV per atom) = 133
- magnetization (μB per formula unit) = 0.0

---

12.
TbZr2Nb | PBE-GGA | relaxed

Structure (CIF):
```
data_TbZr2Nb
_cell_length_a 3.584
_cell_length_b 3.584
_cell_length_c 7.423
_cell_angle_alpha 90.00
_cell_angle_beta 90.00
_cell_angle_gamma 90.00
_space_group_name_H-M_alt 'P 4/m m m'
_space_group_IT_number 123
_space_group_name_Hall '-P 4 2'
loop_
_atom_site_label
_atom_site_type_symbol
_atom_site_fract_x
_atom_site_fract_y
_atom_site_fract_z
Tb1 Tb 0.000 0.000 0.000
Zr1 Zr 0.500 0.500 0.296
Nb1 Nb 0.000 0.000 0.500
```

Summary:
- Fermi-level density of states (states/eV/atom) = 1.568
- ρ (g/cm3) = 7.56
- formation energy (meV per atom) = 100
- E above lowest polymorph (meV per atom) = 0
- magnetization (μB per formula unit) = 0.0

---

13.
TbZrNb4 | PBE-GGA | relaxed

Structure (CIF):
```
data_TbZrNb4
_cell_length_a 7.981
_cell_length_b 7.981
_cell_length_c 7.981
_cell_angle_alpha 90.00
_cell_angle_beta 90.00
_cell_angle_gamma 90.00
_space_group_name_H-M_alt 'F -4 3 m'
_space_group_IT_number 216
_space_group_name_Hall 'F -4 2 3'
loop_
_atom_site_label
_atom_site_type_symbol
_atom_site_fract_x
_atom_site_fract_y
_atom_site_fract_z
Tb1 Tb 0.000 0.000 0.000
Zr1 Zr 0.250 0.250 0.250
Nb1 Nb 0.125 0.125 0.625
```

Summary:
- Fermi-level density of states (states/eV/atom) = 1.741
- ρ (g/cm3) = 8.12
- formation energy (meV per atom) = 133
- magnetization (μB per formula unit) = 0.0

---

14.
Nb3Tc | PBE-GGA | relaxed

Structure (CIF):
```
data_Nb3Tc
_cell_length_a 3.239
_cell_length_b 3.239
_cell_length_c 6.552
_cell_angle_alpha 90.00
_cell_angle_beta 90.00
_cell_angle_gamma 90.00
_space_group_name_H-M_alt 'P 4/m m m'
_space_group_IT_number 123
_space_group_name_Hall '-P 4 2'
loop_
_atom_site_label
_atom_site_type_symbol
_atom_site_fract_x
_atom_site_fract_y
_atom_site_fract_z
Nb1 Nb 0.000 0.000 0.000
Nb2 Nb 0.500 0.500 0.259
Tc1 Tc 0.000 0.000 0.500
```

Summary:
- Fermi-level density of states (states/eV/atom) = 0.420
- ρ (g/cm3) = 9.10
- formation energy (meV per atom) = -215
- magnetization (μB per formula unit) = 0.0

---

15.
NbTc4 | PBE-GGA | relaxed

Structure (CIF):
```
data_NbTc4
_cell_length_a 4.650
_cell_length_b 4.650
_cell_length_c 4.650
_cell_angle_alpha 90.00
_cell_angle_beta 90.00
_cell_angle_gamma 90.00
_space_group_name_H-M_alt 'P m -3 m'
_space_group_IT_number 221
_space_group_name_Hall '-P 4 2 3'
loop_
_atom_site_label
_atom_site_type_symbol
_atom_site_fract_x
_atom_site_fract_y
_atom_site_fract_z
Nb1 Nb 0.000 0.000 0.000
Tc1 Tc 0.000 0.000 0.500
Tc2 Tc 0.500 0.500 0.500
```

Summary:
- Fermi-level density of states (states/eV/atom) = 1.092
- ρ (g/cm3) = 8.01
- formation energy (meV per atom) = 1988
- magnetization (μB per formula unit) = 1.5

---

16.
NbTc5 | PBE-GGA | relaxed

Structure (CIF):
```
data_NbTc5
_cell_length_a 4.375
_cell_length_b 13.442
_cell_length_c 3.110
_cell_angle_alpha 90.00
_cell_angle_beta 90.00
_cell_angle_gamma 90.00
_space_group_name_H-M_alt 'C m m m'
_space_group_IT_number 65
_space_group_name_Hall '-C 2 2'
loop_
_atom_site_label
_atom_site_type_symbol
_atom_site_fract_x
_atom_site_fract_y
_atom_site_fract_z
Nb1 Nb 0.000 0.000 0.000
Tc1 Tc 0.000 0.159 0.500
Tc2 Tc 0.000 0.322 0.000
Tc3 Tc 0.000 0.500 0.500
```

Summary:
- Fermi-level density of states (states/eV/atom) = 0.882
- ρ (g/cm3) = 10.58
- formation energy (meV per atom) = 49
- magnetization (μB per formula unit) = 0.0

---

17.
Nb7Tc3 | PBE-GGA | relaxed

Structure (CIF):
```
data_Nb7Tc3
_cell_length_a 8.4604
_cell_length_b 8.4604
_cell_length_c 5.8005
_cell_angle_alpha 90.00
_cell_angle_beta 90.00
_cell_angle_gamma 120.00
_space_group_name_H-M_alt 'P 63 m c'
_space_group_IT_number 186
_space_group_name_Hall 'P 6c -2c'
loop_
_atom_site_label
_atom_site_type_symbol
_atom_site_fract_x
_atom_site_fract_y
_atom_site_fract_z
Nb1 Nb 0.0377 0.5188 0.0000
Nb2 Nb 0.1216 0.2432 0.7407
Nb3 Nb 0.3333 0.6667 0.6800
Tc1 Tc 0.2108 0.4216 0.2886
```

Summary:
- Fermi-level density of states (states/eV/atom) = 0.761
- ρ (g/cm3) = 8.72
- formation energy (meV per atom) = 83
- magnetization (μB per formula unit) = 0.0

---

18.
Nb3Tc | PBE-GGA | relaxed

Structure (CIF):
```
data_Nb3Tc
_cell_length_a 6.497
_cell_length_b 6.497
_cell_length_c 6.497
_cell_angle_alpha 90.00
_cell_angle_beta 90.00
_cell_angle_gamma 90.00
_space_group_name_H-M_alt 'F m -3 m'
_space_group_IT_number 225
_space_group_name_Hall '-F 4 2 3'
loop_
_atom_site_label
_atom_site_type_symbol
_atom_site_fract_x
_atom_site_fract_y
_atom_site_fract_z
Nb1 Nb 0.000 0.000 0.000
Nb2 Nb 0.250 0.250 0.250
Tc1 Tc 0.000 0.000 0.500
```

Summary:
- Fermi-level density of states (states/eV/atom) = 0.769
- ρ (g/cm3) = 9.12
- formation energy (meV per atom) = -192
- magnetization (μB per formula unit) = 0.0

---

19.
Nb8Tc | PBE-GGA | relaxed

Structure (CIF):
```
data_Nb8Tc
_cell_length_a 9.861
_cell_length_b 9.861
_cell_length_c 3.278
_cell_angle_alpha 90.00
_cell_angle_beta 90.00
_cell_angle_gamma 90.00
_space_group_name_H-M_alt 'I 4/m m m'
_space_group_IT_number 139
_space_group_name_Hall '-I 4 2'
loop_
_atom_site_label
_atom_site_type_symbol
_atom_site_fract_x
_atom_site_fract_y
_atom_site_fract_z
Nb1 Nb 0.000 0.332 0.000
Nb2 Nb 0.163 0.163 0.500
Tc1 Tc 0.000 0.000 0.000
```

Summary:
- Fermi-level density of states (states/eV/atom) = 1.187
- ρ (g/cm3) = 8.76
- formation energy (meV per atom) = -112
- magnetization (μB per formula unit) = 0.0

---

20.
NbTcTe3 | PBE-GGA | relaxed

Structure (CIF):
```
data_NbTcTe3
_cell_length_a 5.413
_cell_length_b 5.413
_cell_length_c 5.413
_cell_angle_alpha 90.00
_cell_angle_beta 90.00
_cell_angle_gamma 90.00
_space_group_name_H-M_alt 'P m -3 m'
_space_group_IT_number 221
_space_group_name_Hall '-P 4 2 3'
loop_
_atom_site_label
_atom_site_type_symbol
_atom_site_fract_x
_atom_site_fract_y
_atom_site_fract_z
Nb1 Nb 0.000 0.000 0.000
Tc1 Tc 0.500 0.500 0.500
Te1 Te 0.000 0.000 0.500
```

Summary:
- Fermi-level density of states (states/eV/atom) = 1.187
- uncorrected formation energy (eV/atom) = 0.97
- ρ (g/cm3) = 6.01
- E above lowest polymorph (meV per atom) = 1172
- magnetization (μB per formula unit) = 5.0